# PrNdNi2P4, optimized geometry, DFT PBE
# M_tot	0.003	μB per cell
# final energy	-49.9	eV for the cell shown
data_PrNdNi2P4
_chemical_formula_sum 'Pr1 Nd1 Ni2 P4'
_cell_length_a 3.784
_cell_length_b 3.784
_cell_length_c 9.944
_cell_angle_alpha 90.00
_cell_angle_beta 90.00
_cell_angle_gamma 90.00
_symmetry_space_group_name_H-M 'P 1'
_symmetry_Int_Tables_number 1
loop_
_symmetry_equiv_pos_as_xyz
'x,y,z'
loop_
_atom_site_label
_atom_site_type_symbol
_atom_site_fract_x
_atom_site_fract_y
_atom_site_fract_z
_atom_site_occupancy
Pr1 Pr 0.000 0.000 0.000 1
Nd1 Nd 0.500 0.500 0.469 1
Ni1 Ni 0.000 0.500 0.733 1
Ni2 Ni 0.500 0.000 0.733 1
P1 P 0.000 0.000 0.607 1
P2 P 0.000 0.500 0.236 1
P3 P 0.500 0.000 0.236 1
P4 P 0.500 0.500 0.858 1